Entry 1:
The following is a DFT calculation (GGA-PBE) of a relaxed SrAcTb2 crystal.

## Properties
uncorrected energy = -14.46 eV for the cell shown
energy above the most stable polymorph in this dataset = 1.5 kJ/mol of atoms

a = 3.839 Å, b = 3.839 Å, c = 10.696 Å
α = 90.00°, β = 90.00°, γ = 90.00°
Sites, in units of the cell vectors:
Sr 0.000 0.000 0.000
Ac 0.000 0.000 0.500
Tb 0.500 0.500 0.267
Tb 0.500 0.500 0.733


Entry 2:
The following is a DFT calculation (GGA-PBE) of a relaxed TiCrHRu2 crystal.

## Properties
uncorrected energy = -40.00 eV for the cell shown
energy above the most stable polymorph in this dataset = 3.8 kJ/mol of atoms

a = 4.015 Å, b = 4.015 Å, c = 3.682 Å
α = 90.00°, β = 90.00°, γ = 90.00°
Sites, in units of the cell vectors:
Ti 0.000 0.000 0.000
Cr 0.500 0.500 0.000
H 0.000 0.000 0.500
Ru 0.000 0.500 0.500
Ru 0.500 0.000 0.500


Entry 3:
The following is a DFT calculation (GGA-PBE) of a relaxed Sm3Y4Sc4 crystal.

## Properties
uncorrected energy = -63.74 eV for the cell shown

a = 10.233 Å, b = 6.530 Å, c = 6.530 Å
α = 49.86°, β = 90.00°, γ = 90.00°
Sites, in units of the cell vectors:
Sm 0.000 0.000 0.000
Sm 0.308 0.137 0.137
Sm 0.692 0.137 0.137
Y 0.000 0.298 0.298
Y 0.280 0.835 0.835
Y 0.500 0.373 0.373
Y 0.720 0.835 0.835
Sc 0.000 0.688 0.688
Sc 0.214 0.505 0.505
Sc 0.500 0.635 0.635
Sc 0.786 0.505 0.505


Entry 4:
The following is a DFT calculation (GGA-PBE) of a relaxed IrPtCl2 crystal.

## Properties
uncorrected energy = -17.20 eV for the cell shown
formation energy (no corrections) = 0.348 eV per atom
energy above the most stable polymorph in this dataset = 32.2 kJ/mol of atoms

a = 6.048 Å, b = 6.048 Å, c = 4.702 Å
α = 101.83°, β = 101.83°, γ = 32.61°
Sites, in units of the cell vectors:
Ir 0.000 0.000 0.000
Pt 0.500 0.500 0.500
Cl 0.365 0.365 0.798
Cl 0.635 0.635 0.202


Entry 5:
The following is a DFT calculation (GGA-PBE) of a relaxed Li2TlCl6 crystal.

## Properties
uncorrected energy = -52.20 eV for the cell shown
formation energy (no corrections) = -0.981 eV per atom

a = 6.558 Å, b = 5.751 Å, c = 13.158 Å
α = 90.00°, β = 119.75°, γ = 90.00°
Sites, in units of the cell vectors:
Li 0.215 0.043 0.196
Li 0.215 0.457 0.696
Li 0.785 0.543 0.304
Li 0.785 0.957 0.804
Tl 0.500 0.000 0.000
Tl 0.500 0.500 0.500
Cl 0.155 0.168 0.817
Cl 0.155 0.332 0.317
Cl 0.162 0.711 0.529
Cl 0.162 0.789 0.029
Cl 0.463 0.176 0.638
Cl 0.463 0.324 0.138
Cl 0.537 0.676 0.862
Cl 0.537 0.824 0.362
Cl 0.838 0.211 0.971
Cl 0.838 0.289 0.471
Cl 0.845 0.668 0.683
Cl 0.845 0.832 0.183


Entry 6:
The following is a DFT calculation (GGA-PBE) of a relaxed BaSr2Zn crystal.

## Properties
uncorrected energy = -6.10 eV for the cell shown

a = 6.218 Å, b = 6.218 Å, c = 6.218 Å
α = 60.00°, β = 60.00°, γ = 60.00°
Sites, in units of the cell vectors:
Ba 0.000 0.000 0.000
Sr 0.500 0.500 0.500
Sr 0.750 0.750 0.750
Zn 0.250 0.250 0.250